## HfTa4Ru2 (PBE-GGA)

Data for a relaxed structure of HfTa4Ru2.

abc: 7.344 7.344 7.344
angles: 141.73 141.73 55.23
Fractional positions:
Hf 0.000 0.000 0.000
Ta 0.000 0.500 0.500
Ta 0.207 0.207 0.000
Ta 0.500 0.000 0.500
Ta 0.793 0.793 0.000
Ru 0.389 0.389 0.000
Ru 0.611 0.611 0.000

Output
As for the space group: I4/mmm (139). The density of states at the Fermi level is 1.5726 states/eV per atom. For the formation energy, the calculation gives 10.43 eV per formula unit.

---

## HfTa2Ru (PBE-GGA)

Data for a relaxed structure of HfTa2Ru.

abc: 3.183 3.183 7.087
angles: 90.00 90.00 90.00
Fractional positions:
Hf 0.000 0.000 0.000
Ta 0.500 0.500 0.275
Ta 0.500 0.500 0.725
Ru 0.000 0.000 0.500

Output
As for the space group: P4/mmm (123). The density of states at the Fermi level is 0.7282 states/eV per atom. For the formation energy, the calculation gives -0.83 eV per formula unit.

---

## HfTa2Ru2 (PBE-GGA)

Data for a relaxed structure of HfTa2Ru2.

abc: 6.059 6.059 6.059
angles: 138.59 138.59 60.00
Fractional positions:
Hf 0.000 0.000 0.000
Ta 0.250 0.750 0.500
Ta 0.750 0.250 0.500
Ru 0.384 0.384 0.000
Ru 0.616 0.616 0.000

Output
The energy above the most stable polymorph in this dataset is 89 meV per atom. As for the space group: I4/mmm (139). The density of states at the Fermi level is 0.7604 states/eV per atom. For the formation energy, the calculation gives -0.45 eV per formula unit.

---

## Hf3TaRu (PBE-GGA)

Data for a relaxed structure of Hf3TaRu.

abc: 4.888 4.888 4.888
angles: 90.00 90.00 90.00
Fractional positions:
Hf 0.000 0.000 0.500
Hf 0.000 0.500 0.000
Hf 0.500 0.000 0.000
Ta 0.500 0.500 0.500
Ru 0.000 0.000 0.000

Output
The energy above the most stable polymorph in this dataset is 0 meV per atom. As for the space group: Pm-3m (221). The density of states at the Fermi level is 1.0313 states/eV per atom. For the formation energy, the calculation gives 3.27 eV per formula unit.

---

## HfTa2Ru3 (PBE-GGA)

Data for a relaxed structure of HfTa2Ru3.

abc: 3.123 3.123 10.060
angles: 90.00 90.00 90.00
Fractional positions:
Hf 0.000 0.000 0.000
Ta 0.000 0.000 0.334
Ta 0.000 0.000 0.666
Ru 0.500 0.500 0.173
Ru 0.500 0.500 0.500
Ru 0.500 0.500 0.827

Output
As for the space group: P4/mmm (123). The density of states at the Fermi level is 0.9135 states/eV per atom. For the formation energy, the calculation gives -2.82 eV per formula unit.

---

## HfTaRu2 (PBE-GGA)

Data for a relaxed structure of HfTaRu2.

abc: 5.753 5.753 5.753
angles: 105.02 105.02 118.80
Fractional positions:
Hf 0.000 0.000 0.000
Hf 0.750 0.250 0.500
Ta 0.250 0.750 0.500
Ta 0.500 0.500 0.000
Ru 0.141 0.625 0.016
Ru 0.375 0.391 0.516
Ru 0.609 0.125 0.984
Ru 0.875 0.859 0.484

Output
As for the space group: I-42d (122). The density of states at the Fermi level is 0.6628 states/eV per atom. For the formation energy, the calculation gives 0.52 eV per formula unit.